First-principles (meta-GGA SCAN) data for BaTc2Se2 at its PBEsol-relaxed geometry, as listed in the Alexandria database.

Unit cell a=4.7131 b=4.7131 c=9.1698 alpha=90.00 beta=90.00 gamma=90.00
Space group I4/mmm (No. 139)
Unique sites:
1 Ba 0.0000 0.0000 0.0000
2 Tc 0.0000 0.0000 0.3780
3 Se 0.0000 0.5000 0.2500


First-principles (meta-GGA SCAN) data for BaTcSe2 at its PBEsol-relaxed geometry, as listed in the Alexandria database.

Unit cell a=4.1596 b=3.7530 c=6.9209 alpha=90.00 beta=90.68 gamma=90.00
Space group P2/m (No. 10)
Unique sites:
1 Ba 0.0000 0.0000 0.0000
2 Tc 0.5000 0.0000 0.5000
3 Se 0.4927 0.5000 0.7426

energy above the most stable polymorph in this dataset: 0.000 eV per atom


First-principles (meta-GGA SCAN) data for BaZn2TcSe at its PBEsol-relaxed geometry, as listed in the Alexandria database.

Unit cell a=4.8471 b=4.8471 c=5.9975 alpha=90.00 beta=90.00 gamma=90.00
Space group P4/mmm (No. 123)
Unique sites:
1 Ba 0.0000 0.0000 0.0000
2 Zn 0.0000 0.5000 0.5000
3 Tc 0.5000 0.5000 0.0000
4 Se 0.0000 0.0000 0.5000


First-principles (meta-GGA SCAN) data for BaZr2TcSe at its PBEsol-relaxed geometry, as listed in the Alexandria database.

Unit cell a=4.8570 b=4.8570 c=5.8277 alpha=90.00 beta=90.00 gamma=90.00
Space group P4/mmm (No. 123)
Unique sites:
1 Ba 0.0000 0.0000 0.0000
2 Zr 0.0000 0.5000 0.5000
3 Tc 0.5000 0.5000 0.5000
4 Se 0.5000 0.5000 0.0000


First-principles (meta-GGA SCAN) data for BaTeSe2 at its PBEsol-relaxed geometry, as listed in the Alexandria database.

Unit cell a=4.2693 b=5.3572 c=5.3569 alpha=90.00 beta=90.02 gamma=90.00
Space group Pm (No. 6)
Unique sites:
1 Ba 0.0000 0.0000 0.0000
2 Te 0.3442 0.5000 0.5021
3 Se 0.5057 0.0000 0.5002
4 Se 0.5057 0.5000 0.0011


First-principles (meta-GGA SCAN) data for BaTeSe2 at its PBEsol-relaxed geometry, as listed in the Alexandria database.

Unit cell a=4.4112 b=4.4112 c=11.2712 alpha=90.00 beta=90.00 gamma=90.00
Space group I-4m2 (No. 119)
Unique sites:
1 Ba 0.0000 0.0000 0.0000
2 Te 0.0000 0.5000 0.7500
3 Se 0.0000 0.0000 0.5000
4 Se 0.0000 0.5000 0.2500


First-principles (meta-GGA SCAN) data for BaTeSe2 at its PBEsol-relaxed geometry, as listed in the Alexandria database.

Unit cell a=4.3073 b=5.8899 c=8.9420 alpha=90.00 beta=90.00 gamma=90.00
Space group Immm (No. 71)
Unique sites:
1 Ba 0.0000 0.0000 0.0000
2 Te 0.0000 0.0000 0.5000
3 Se 0.0000 0.5000 0.2012


First-principles (meta-GGA SCAN) data for Ba2TeSe at its PBEsol-relaxed geometry, as listed in the Alexandria database.

Unit cell a=4.7984 b=4.7984 c=6.7879 alpha=90.00 beta=90.00 gamma=90.00
Space group P4/mmm (No. 123)
Unique sites:
1 Ba 0.0000 0.0000 0.0000
2 Ba 0.5000 0.5000 0.5000
3 Te 0.0000 0.0000 0.5000
4 Se 0.5000 0.5000 0.0000

energy above the most stable polymorph in this dataset: 0.024 eV per atom


Number 1: formation energy without anion corrections -1.86 eV per formula unit. Number 2: formation energy without anion corrections -3.11 eV per formula unit. Number 3: formation energy without anion corrections 4.14 eV per formula unit. Number 4: formation energy without anion corrections 0.67 eV per formula unit. Number 5: formation energy without anion corrections -4.80 eV per formula unit. Number 6: formation energy without anion corrections -3.38 eV per formula unit. Number 7: formation energy without anion corrections -4.44 eV per formula unit. Number 8: formation energy without anion corrections -8.50 eV per formula unit.